{
  "formula": "NaPaNi4",
  "functional": "GGA-PBE",
  "state": "optimized geometry",
  "lattice": [[0.000, 3.510, 3.510], [3.510, 0.000, 3.510], [3.510, 3.510, 0.000]],
  "species": ["Na", "Pa", "Ni", "Ni", "Ni", "Ni"],
  "fractional_positions": [[0.000, 0.000, 0.000], [0.750, 0.750, 0.750], [0.374, 0.374, 0.374], [0.374, 0.374, 0.877], [0.374, 0.877, 0.374], [0.877, 0.374, 0.374]],
  "spacegroup": "F-43m",
  "m_tot_mub_per_cell": 0.00,
  "ef_mev_per_atom": -171
}


{
  "formula": "Na2PaNiS4",
  "functional": "GGA-PBE",
  "state": "optimized geometry",
  "lattice": [[6.961, 0.000, 0.000], [0.000, 6.961, 0.000], [0.000, 0.000, 6.394]],
  "species": ["Na", "Na", "Na", "Na", "Pa", "Pa", "Ni", "Ni", "S", "S", "S", "S", "S", "S", "S", "S"],
  "fractional_positions": [[0.000, 0.500, 0.000], [0.000, 0.500, 0.500], [0.500, 0.000, 0.000], [0.500, 0.000, 0.500], [0.000, 0.000, 0.000], [0.500, 0.500, 0.500], [0.000, 0.000, 0.500], [0.500, 0.500, 0.000], [0.187, 0.187, 0.289], [0.187, 0.813, 0.711], [0.313, 0.313, 0.789], [0.313, 0.687, 0.211], [0.687, 0.313, 0.211], [0.687, 0.687, 0.789], [0.813, 0.187, 0.711], [0.813, 0.813, 0.289]],
  "spacegroup": "I-42m",
  "m_tot_mub_per_cell": 2.02,
  "formation_energy_uncorrected_ev_per_fu": -8.2
}


{
  "formula": "Na3Pa2NiS6",
  "functional": "GGA-PBE",
  "state": "optimized geometry",
  "lattice": [[3.334, -5.790, 0.000], [3.334, 5.790, 0.000], [-2.213, 0.000, 6.724]],
  "species": ["Na", "Na", "Na", "Pa", "Pa", "Ni", "S", "S", "S", "S", "S", "S"],
  "fractional_positions": [[0.000, 0.000, 0.000], [0.336, 0.664, 0.000], [0.664, 0.336, 0.000], [0.167, 0.833, 0.500], [0.833, 0.167, 0.500], [0.500, 0.500, 0.500], [0.097, 0.425, 0.275], [0.248, 0.248, 0.722], [0.425, 0.097, 0.275], [0.575, 0.903, 0.725], [0.752, 0.752, 0.278], [0.903, 0.575, 0.725]],
  "spacegroup": "C2/m",
  "m_tot_mub_per_cell": 1.04,
  "formation_energy_uncorrected_ev_per_fu": -14.8
}


{
  "formula": "Na3Pa3NiS8",
  "functional": "GGA-PBE",
  "state": "optimized geometry",
  "lattice": [[6.652, -3.932, 0.000], [6.652, 3.932, 0.000], [-4.388, 0.000, 6.794]],
  "species": ["Na", "Na", "Na", "Pa", "Pa", "Pa", "Ni", "S", "S", "S", "S", "S", "S", "S", "S"],
  "fractional_positions": [[0.000, 0.000, 0.000], [0.000, 0.500, 0.000], [0.500, 0.000, 0.000], [0.000, 0.500, 0.500], [0.500, 0.000, 0.500], [0.500, 0.500, 0.500], [0.000, 0.000, 0.500], [0.219, 0.219, 0.703], [0.240, 0.741, 0.721], [0.253, 0.253, 0.264], [0.259, 0.760, 0.279], [0.741, 0.240, 0.721], [0.747, 0.747, 0.736], [0.760, 0.259, 0.279], [0.781, 0.781, 0.297]],
  "spacegroup": "C2/m",
  "m_tot_mub_per_cell": 4.07,
  "formation_energy_uncorrected_ev_per_fu": -19.0
}


{
  "formula": "Na2Pa2NiS6",
  "functional": "GGA-PBE",
  "state": "optimized geometry",
  "lattice": [[3.220, -6.278, 0.000], [3.220, 6.278, 0.000], [-1.914, 0.000, 6.736]],
  "species": ["Na", "Na", "Pa", "Pa", "Ni", "S", "S", "S", "S", "S", "S"],
  "fractional_positions": [[0.150, 0.850, 0.000], [0.850, 0.150, 0.000], [0.342, 0.658, 0.500], [0.658, 0.342, 0.500], [0.000, 0.000, 0.500], [0.053, 0.439, 0.728], [0.231, 0.231, 0.314], [0.439, 0.053, 0.728], [0.561, 0.947, 0.272], [0.769, 0.769, 0.686], [0.947, 0.561, 0.272]],
  "spacegroup": "C2/m",
  "m_tot_mub_per_cell": 0.21,
  "formation_energy_uncorrected_ev_per_fu": -13.9
}


{
  "formula": "NaPa4Ni3S12",
  "functional": "GGA-PBE",
  "state": "optimized geometry",
  "lattice": [[-4.823, 4.823, 4.823], [4.823, -4.823, 4.823], [4.823, 4.823, -4.823]],
  "species": ["Na", "Pa", "Pa", "Pa", "Pa", "Ni", "Ni", "Ni", "S", "S", "S", "S", "S", "S", "S", "S", "S", "S", "S", "S"],
  "fractional_positions": [[0.000, 0.000, 0.000], [0.000, 0.000, 0.500], [0.000, 0.500, 0.000], [0.500, 0.000, 0.000], [0.500, 0.500, 0.500], [0.000, 0.500, 0.500], [0.500, 0.000, 0.500], [0.500, 0.500, 0.000], [0.160, 0.483, 0.323], [0.160, 0.836, 0.677], [0.164, 0.323, 0.840], [0.323, 0.160, 0.483], [0.323, 0.840, 0.164], [0.483, 0.323, 0.160], [0.517, 0.677, 0.840], [0.677, 0.160, 0.836], [0.677, 0.840, 0.517], [0.836, 0.677, 0.160], [0.840, 0.164, 0.323], [0.840, 0.517, 0.677]],
  "spacegroup": "Im-3",
  "m_tot_mub_per_cell": 2.94,
  "formation_energy_uncorrected_ev_per_fu": -21.6
}


{
  "formula": "NaPaNi2S4",
  "functional": "GGA-PBE",
  "state": "optimized geometry",
  "lattice": [[6.296, 0.000, 0.000], [0.000, 6.362, 0.000], [0.000, 0.000, 6.991]],
  "species": ["Na", "Na", "Pa", "Pa", "Ni", "Ni", "Ni", "Ni", "S", "S", "S", "S", "S", "S", "S", "S"],
  "fractional_positions": [[0.000, 0.000, 0.000], [0.500, 0.500, 0.500], [0.000, 0.000, 0.500], [0.500, 0.500, 0.000], [0.000, 0.500, 0.205], [0.000, 0.500, 0.795], [0.500, 0.000, 0.295], [0.500, 0.000, 0.705], [0.236, 0.235, 0.751], [0.236, 0.765, 0.249], [0.264, 0.265, 0.251], [0.264, 0.735, 0.749], [0.736, 0.265, 0.749], [0.736, 0.735, 0.251], [0.764, 0.235, 0.249], [0.764, 0.765, 0.751]],
  "spacegroup": "I222",
  "m_tot_mub_per_cell": 0.00,
  "formation_energy_uncorrected_ev_per_fu": -6.9
}


{
  "formula": "Na2PaNiSe4",
  "functional": "GGA-PBE",
  "state": "optimized geometry",
  "lattice": [[6.485, 0.000, 0.000], [0.000, 4.102, 0.000], [-2.348, 0.000, 7.074]],
  "species": ["Na", "Na", "Pa", "Ni", "Se", "Se", "Se", "Se"],
  "fractional_positions": [[0.000, 0.000, 0.000], [0.500, 0.500, 0.000], [0.000, 0.500, 0.500], [0.500, 0.000, 0.500], [0.258, 0.000, 0.724], [0.275, 0.500, 0.287], [0.725, 0.500, 0.713], [0.742, 0.000, 0.276]],
  "spacegroup": "P2/m",
  "m_tot_mub_per_cell": 1.39,
  "formation_energy_uncorrected_ev_per_fu": -7.8
}


Q: Which formula does entry 6 have?
A: NaPa4Ni3S12


Repeat the eighth record exactly.
{
  "formula": "Na2PaNiSe4",
  "functional": "GGA-PBE",
  "state": "optimized geometry",
  "lattice": [[6.485, 0.000, 0.000], [0.000, 4.102, 0.000], [-2.348, 0.000, 7.074]],
  "species": ["Na", "Na", "Pa", "Ni", "Se", "Se", "Se", "Se"],
  "fractional_positions": [[0.000, 0.000, 0.000], [0.500, 0.500, 0.000], [0.000, 0.500, 0.500], [0.500, 0.000, 0.500], [0.258, 0.000, 0.724], [0.275, 0.500, 0.287], [0.725, 0.500, 0.713], [0.742, 0.000, 0.276]],
  "spacegroup": "P2/m",
  "m_tot_mub_per_cell": 1.39,
  "formation_energy_uncorrected_ev_per_fu": -7.8
}